# 1
! BaAl2Tc, relaxed, DFT GGA-PBEsol; values from VASP
&SYSTEM
  ibrav = 0, nat = 4, ntyp = 3
/
ATOMIC_SPECIES
Tc 98.00 Tc.upf
Ba 137.33 Ba.upf
Al 26.98 Al.upf
ATOMIC_POSITIONS angstrom
Tc 2.0809 2.5655 2.7491
Ba -1.0389 1.6682 1.8813
Al 1.4514 3.8264 0.5918
Al 2.2428 5.0594 2.9291
CELL_PARAMETERS angstrom
-2.2538 2.3241 -0.4629
-1.0090 -0.2123 3.8472
6.4467 3.9199 -0.1547
! * formation energy: 2.3 kcal/mol of atoms
! * final energy: -5.30 eV/atom


# 2
! BaAl3Tc, relaxed, DFT GGA-PBEsol; values from VASP
&SYSTEM
  ibrav = 0, nat = 5, ntyp = 3
/
ATOMIC_SPECIES
Al 26.98 Al.upf
Tc 98.00 Tc.upf
Ba 137.33 Ba.upf
ATOMIC_POSITIONS angstrom
Al 0.0000 0.0000 2.4318
Al 0.0000 2.4318 0.0000
Al 2.4318 0.0000 0.0000
Tc 0.0000 0.0000 0.0000
Ba 2.4318 2.4318 2.4318
CELL_PARAMETERS angstrom
4.8636 0.0000 0.0000
0.0000 4.8636 0.0000
0.0000 0.0000 4.8636
! * formation energy: -6.4 kcal/mol of atoms
! * final energy: -5.42 eV/atom


# 3
! BaAl2Tc, relaxed, DFT GGA-PBEsol; values from VASP
&SYSTEM
  ibrav = 0, nat = 4, ntyp = 3
/
ATOMIC_SPECIES
Al 26.98 Al.upf
Ba 137.33 Ba.upf
Tc 98.00 Tc.upf
ATOMIC_POSITIONS angstrom
Al 2.1868 -1.8953 0.8109
Al 1.7898 -4.0355 3.1370
Ba -0.3970 -2.1401 2.3262
Tc 0.0000 0.0000 0.0000
CELL_PARAMETERS angstrom
-3.0796 -3.1520 0.9374
4.7705 -1.6505 -0.7044
2.2856 -1.1283 3.7149
! * formation energy: 12.3 kcal/mol of atoms
! * final energy: -4.87 eV/atom


# 4
! BaAlTc2, relaxed, DFT GGA-PBEsol; values from VASP
&SYSTEM
  ibrav = 0, nat = 4, ntyp = 3
/
ATOMIC_SPECIES
Tc 98.00 Tc.upf
Al 26.98 Al.upf
Ba 137.33 Ba.upf
ATOMIC_POSITIONS angstrom
Tc 0.0000 0.0000 2.9239
Tc 1.3885 2.7226 2.1764
Al 0.0000 2.7226 0.0000
Ba 1.3885 0.0000 0.0000
CELL_PARAMETERS angstrom
2.7770 0.0000 0.0000
0.0000 5.4453 0.0000
-1.3885 -2.7226 5.1003
! * formation energy: 20.8 kcal/mol of atoms
! * final energy: -6.29 eV/atom


# 5
! BaAlTc2, relaxed, DFT GGA-PBEsol; values from VASP
&SYSTEM
  ibrav = 0, nat = 4, ntyp = 3
/
ATOMIC_SPECIES
Ba 137.33 Ba.upf
Tc 98.00 Tc.upf
Al 26.98 Al.upf
ATOMIC_POSITIONS angstrom
Ba 4.3798 2.5287 2.9798
Tc 6.5697 3.7930 5.7102
Tc 2.1899 1.2643 0.2495
Al 0.0000 0.0000 0.0000
CELL_PARAMETERS angstrom
4.3798 0.0000 0.0000
2.1899 3.7930 0.0000
2.1899 1.2643 5.9597
! * formation energy: 4.8 kcal/mol of atoms
! * final energy: -6.99 eV/atom


# 6
! BaAlTe2, relaxed, DFT GGA-PBEsol; values from VASP
&SYSTEM
  ibrav = 0, nat = 4, ntyp = 3
/
ATOMIC_SPECIES
Te 127.60 Te.upf
Al 26.98 Al.upf
Ba 137.33 Ba.upf
ATOMIC_POSITIONS angstrom
Te 2.0600 1.1893 6.3715
Te 6.1800 3.5680 3.3473
Al 4.1200 2.3787 4.8594
Ba 0.0000 0.0000 0.0000
CELL_PARAMETERS angstrom
4.1200 0.0000 0.0000
2.0600 3.5680 0.0000
2.0600 1.1893 9.7188
! * final energy: -3.75 eV/atom


- Which value of final energy does entry 3 give?
  -4.87 eV/atom